Here is a relaxed TaCdSb crystal from Alexandria via LeMat-Bulk. Energies are from PBE.

uncorrected formation energy: 0.9 eV/f.u.
space-group type: P3m1 (156)
relative energy among the computed polymorphs: 0.059 eV per atom
DFT total energy: -15.94 eV/f.u.
density: 10.35 g cm⁻³

a b c (Å): 3.170 3.170 7.653
angles (deg): 90.00 90.00 120.00
Sites, in units of the cell vectors:
Ta 0.000 0.000 0.000
Cd 0.667 0.333 0.312
Sb 0.333 0.667 0.695


Here is a relaxed TaCdSb2 crystal from Alexandria via LeMat-Bulk. Energies are from PBE.

uncorrected formation energy: 1.7 eV/f.u.
space-group type: I4/mmm (139)
relative energy among the computed polymorphs: 0.303 eV per atom
DFT total energy: -19.32 eV/f.u.
density: 9.94 g cm⁻³

a b c (Å): 5.286 5.286 5.286
angles (deg): 127.70 127.70 77.11
Sites, in units of the cell vectors:
Ta 0.000 0.000 0.000
Cd 0.500 0.500 0.000
Sb 0.250 0.750 0.500
Sb 0.750 0.250 0.500


Here is a relaxed TaCdSb2 crystal from Alexandria via LeMat-Bulk. Energies are from PBE.

uncorrected formation energy: 1.3 eV/f.u.
space-group type: P4mm (99)
relative energy among the computed polymorphs: 0.212 eV per atom
DFT total energy: -19.68 eV/f.u.
density: 9.28 g cm⁻³

a b c (Å): 3.556 3.556 7.596
angles (deg): 90.00 90.00 90.00
Sites, in units of the cell vectors:
Ta 0.000 0.000 0.000
Cd 0.500 0.500 0.243
Sb 0.000 0.000 0.570
Sb 0.500 0.500 0.837


What is the DFT total energy in the second record? -19.32 eV/f.u.